Material: LiTbCd2
Method: DFT, PBE
State: relaxed

Computed properties:
Excess energy over the best structure of this formula in the dataset ... 168 meV per atom
Energy relative to the elements ... -0.10 eV per atom
DOS(E_F) ... 2.576 states/eV/f.u.
E_tot ... -8.772 eV/f.u.

a b c (Å): 3.4083 3.4083 28.8647
angles (deg): 90.00 90.00 120.00
Space group R3m (No. 160, hexagonal axes)
One atom of each set of equivalent atoms:
Li1 0.0000 0.0000 0.0000 (multiplicity 3)
Tb1 0.0000 0.0000 0.1683 (multiplicity 3)
Cd1 0.0000 0.0000 0.4101 (multiplicity 3)
Cd2 0.0000 0.0000 0.5923 (multiplicity 3)

=====

Material: Li3TbCd9
Method: DFT, PBE
State: relaxed

Computed properties:
Energy relative to the elements ... -0.21 eV per atom
DOS(E_F) ... 4.224 states/eV/f.u.
E_tot ... -21.376 eV/f.u.

a b c (Å): 5.399 14.118 7.550
angles (deg): 90.00 110.85 90.00
Space group C2/m (No. 12)
One atom of each set of equivalent atoms:
Li1 0.000 0.000 0.000 (multiplicity 2)
Li2 0.250 0.250 0.500 (multiplicity 4)
Tb1 0.000 0.000 0.500 (multiplicity 2)
Cd1 0.000 0.500 0.000 (multiplicity 2)
Cd2 0.111 0.391 0.708 (multiplicity 8)
Cd3 0.165 0.177 0.839 (multiplicity 8)

=====

Material: LiTbCd2
Method: DFT, PBE
State: relaxed

Computed properties:
Excess energy over the best structure of this formula in the dataset ... 43 meV per atom
Energy relative to the elements ... -0.22 eV per atom
DOS(E_F) ... 2.142 states/eV/f.u.
E_tot ... -9.274 eV/f.u.

a b c (Å): 5.272 5.272 3.473
angles (deg): 90.00 90.00 90.00
Space group P4/mmm (No. 123)
One atom of each set of equivalent atoms:
Li1 0.000 0.000 0.000 (multiplicity 1)
Tb1 0.500 0.500 0.000 (multiplicity 1)
Cd1 0.000 0.500 0.500 (multiplicity 2)

=====

Material: Li2Tb3Cd3
Method: DFT, PBE
State: relaxed

Computed properties:
Energy relative to the elements ... -0.20 eV per atom
DOS(E_F) ... 7.481 states/eV/f.u.
E_tot ... -22.033 eV/f.u.

a b c (Å): 3.741 5.278 20.197
angles (deg): 90.00 90.00 90.00
Space group Immm (No. 71)
One atom of each set of equivalent atoms:
Li1 0.000 0.000 0.240 (multiplicity 4)
Tb1 0.000 0.000 0.000 (multiplicity 2)
Tb2 0.000 0.500 0.128 (multiplicity 4)
Cd1 0.000 0.000 0.500 (multiplicity 2)
Cd2 0.000 0.500 0.364 (multiplicity 4)

=====

Material: LiTb4Cd2
Method: DFT, PBE
State: relaxed

Computed properties:
Energy relative to the elements ... -0.04 eV per atom
DOS(E_F) ... 8.878 states/eV/f.u.
E_tot ... -22.533 eV/f.u.

a b c (Å): 5.2341 5.2341 25.1512
angles (deg): 90.00 90.00 120.00
Space group R-3m (No. 166, hexagonal axes)
One atom of each set of equivalent atoms:
Li1 0.0000 0.0000 0.0000 (multiplicity 3)
Tb1 0.0000 0.0000 0.1300 (multiplicity 6)
Tb2 0.0000 0.0000 0.3826 (multiplicity 6)
Cd1 0.0000 0.0000 0.2561 (multiplicity 6)

=====

Material: LiTb5Cd6
Method: DFT, PBE
State: relaxed

Computed properties:
Energy relative to the elements ... -0.30 eV per atom
DOS(E_F) ... 11.030 states/eV/f.u.
E_tot ... -34.144 eV/f.u.

a b c (Å): 5.226 7.459 15.658
angles (deg): 90.00 90.00 90.00
Space group Immm (No. 71)
One atom of each set of equivalent atoms:
Li1 0.000 0.000 0.000 (multiplicity 2)
Tb1 0.000 0.000 0.335 (multiplicity 4)
Tb2 0.000 0.500 0.000 (multiplicity 2)
Tb3 0.000 0.500 0.327 (multiplicity 4)
Cd1 0.000 0.232 0.157 (multiplicity 8)
Cd2 0.000 0.272 0.500 (multiplicity 4)

=====

Material: Li6TbCd6
Method: DFT, PBE
State: relaxed

Computed properties:
Energy relative to the elements ... -0.20 eV per atom
DOS(E_F) ... 6.370 states/eV/f.u.
E_tot ... -24.219 eV/f.u.

a b c (Å): 5.297 9.779 9.885
angles (deg): 90.00 90.00 90.00
Space group Immm (No. 71)
One atom of each set of equivalent atoms:
Li1 0.000 0.000 0.224 (multiplicity 4)
Li2 0.250 0.250 0.250 (multiplicity 8)
Tb1 0.000 0.500 0.500 (multiplicity 2)
Cd1 0.000 0.152 0.500 (multiplicity 4)
Cd2 0.000 0.193 0.000 (multiplicity 4)
Cd3 0.000 0.500 0.158 (multiplicity 4)

=====

Material: Li2TbCd6
Method: DFT, PBE
State: relaxed

Computed properties:
Energy relative to the elements ... -0.20 eV per atom
DOS(E_F) ... 5.657 states/eV/f.u.
E_tot ... -15.728 eV/f.u.

a b c (Å): 8.6010 8.6010 3.2140
angles (deg): 90.00 90.00 120.00
Space group P6/mmm (No. 191)
One atom of each set of equivalent atoms:
Li1 0.3333 0.6667 0.0000 (multiplicity 2)
Tb1 0.0000 0.0000 0.0000 (multiplicity 1)
Cd1 0.0000 0.3382 0.5000 (multiplicity 6)

=====

Material: Li4TbCd15
Method: DFT, PBE
State: relaxed

Computed properties:
Energy relative to the elements ... -0.18 eV per atom
DOS(E_F) ... 5.219 states/eV/f.u.
E_tot ... -29.665 eV/f.u.

a b c (Å): 4.435 4.435 21.851
angles (deg): 90.00 90.00 90.00
Space group P4/mmm (No. 123)
One atom of each set of equivalent atoms:
Li1 0.000 0.000 0.096 (multiplicity 2)
Li2 0.000 0.000 0.293 (multiplicity 2)
Tb1 0.000 0.000 0.500 (multiplicity 1)
Cd1 0.000 0.500 0.000 (multiplicity 2)
Cd2 0.000 0.500 0.194 (multiplicity 4)
Cd3 0.000 0.500 0.390 (multiplicity 4)
Cd4 0.500 0.500 0.098 (multiplicity 2)
Cd5 0.500 0.500 0.291 (multiplicity 2)
Cd6 0.500 0.500 0.500 (multiplicity 1)

=====

Material: LiTb3Cd4
Method: DFT, PBE
State: relaxed

Computed properties:
Energy relative to the elements ... -0.28 eV per atom
DOS(E_F) ... 8.245 states/eV/f.u.
E_tot ... -21.715 eV/f.u.

a b c (Å): 5.2147 5.2147 25.5961
angles (deg): 90.00 90.00 120.00
Space group R-3m (No. 166, hexagonal axes)
One atom of each set of equivalent atoms:
Li1 0.0000 0.0000 0.0000 (multiplicity 3)
Tb1 0.0000 0.0000 0.2515 (multiplicity 6)
Tb2 0.0000 0.0000 0.5000 (multiplicity 3)
Cd1 0.0000 0.0000 0.1205 (multiplicity 6)
Cd2 0.0000 0.0000 0.3734 (multiplicity 6)

=====

Material: Li5TbCd6
Method: DFT, PBE
State: relaxed

Computed properties:
Energy relative to the elements ... -0.24 eV per atom
DOS(E_F) ... 4.865 states/eV/f.u.
E_tot ... -22.557 eV/f.u.

a b c (Å): 4.851 6.962 7.609
angles (deg): 90.00 108.42 90.00
Space group P2/m (No. 10)
One atom of each set of equivalent atoms:
Li1 0.000 0.000 0.000 (multiplicity 1)
Li2 0.329 0.500 0.662 (multiplicity 2)
Li3 0.338 0.000 0.681 (multiplicity 2)
Tb1 0.000 0.500 0.000 (multiplicity 1)
Cd1 0.176 0.230 0.349 (multiplicity 4)
Cd2 0.500 0.225 0.000 (multiplicity 2)

=====

Material: Li4TbCd4
Method: DFT, PBE
State: relaxed

Computed properties:
Energy relative to the elements ... -0.10 eV per atom
DOS(E_F) ... 5.999 states/eV/f.u.
E_tot ... -16.880 eV/f.u.

a b c (Å): 6.208 6.208 9.827
angles (deg): 90.00 90.00 90.00
Space group P4_2/nmc (No. 137, origin choice 2)
One atom of each set of equivalent atoms:
Li1 0.032 0.250 0.175 (multiplicity 8)
Tb1 0.250 0.750 0.250 (multiplicity 2)
Cd1 0.017 0.250 0.462 (multiplicity 8)